A plane-wave DFT calculation with PBE was carried out for a geometry-optimized HfAlNiIr2 structure.

Cell lengths 4.601, 4.601, 4.057 Å; angles 90.00, 90.00, 90.00 degrees
Space group P4/mmm (No. 123)
Symmetry-distinct sites (fractional):
Hf 0.000 0.000 0.000 (multiplicity 1)
Al 0.500 0.500 0.000 (multiplicity 1)
Ni 0.500 0.500 0.500 (multiplicity 1)
Ir 0.000 0.500 0.500 (multiplicity 2)

Computed properties:
The spin magnetization is 0.00 μB per atom. The calculation puts the density of states at the Fermi level at 3.65 states/eV/cell. The value obtained for the energy of formation is 0.325 eV per atom. As for the total DFT energy (no corrections): -7.115 eV/atom. The calculated density comes out at 12.54 g/cm³.